# RbAg3Br, relaxed, DFT PBE
data_RbAg3Br
_chemical_formula_sum 'Rb1 Ag3 Br1'
_space_group_name_H-M_alt 'P 1'
_space_group_IT_number 1
_space_group_name_Hall 'P 1'
_cell_length_a 6.079
_cell_length_b 6.079
_cell_length_c 6.079
_cell_angle_alpha 90.00
_cell_angle_beta 90.00
_cell_angle_gamma 90.00
loop_
_atom_site_label
_atom_site_fract_x
_atom_site_fract_y
_atom_site_fract_z
Ag1 0.000 0.500 0.000
Ag2 0.500 0.000 0.000
Ag3 0.000 0.000 0.500
Br1 0.500 0.500 0.500
Rb1 0.000 0.000 0.000
# total magnetization = 0.62 μB per formula unit
# density = 3.61 g cm⁻³
# relative energy among the computed polymorphs = 577 meV/atom
# raw total energy = -1.23 eV per atom
# uncorrected formation energy = 1.01 eV per atom